1 | A plane-wave DFT calculation with PBE was carried out for TaCdIr after structural relaxation. Values from VASP.

Structure (Quantum ESPRESSO input):
```
&SYSTEM
  ibrav = 0, nat = 6, ntyp = 3
/
ATOMIC_SPECIES
Ta 180.95 Ta.upf
Cd 112.41 Cd.upf
Ir 192.22 Ir.upf
ATOMIC_POSITIONS angstrom
Ta 0.000 0.000 1.756
Ta 0.000 0.000 7.785
Cd 0.000 0.000 4.771
Cd 1.472 1.892 0.000
Ir 1.472 1.892 3.014
Ir 1.472 1.892 6.528
CELL_PARAMETERS angstrom
2.944 0.000 0.000
0.000 3.785 0.000
0.000 0.000 9.542
```

- M_tot (μB per formula unit) = 0.0
- D(E_F) (states/eV/cell) = 4.44

=====

2 | A plane-wave DFT calculation with PBE was carried out for TaCdIr after structural relaxation. Values from VASP.

Structure (Quantum ESPRESSO input):
```
&SYSTEM
  ibrav = 0, nat = 12, ntyp = 3
/
ATOMIC_SPECIES
Ta 180.95 Ta.upf
Cd 112.41 Cd.upf
Ir 192.22 Ir.upf
ATOMIC_POSITIONS angstrom
Ta 0.000 0.000 0.000
Ta 2.037 0.000 2.428
Ta 7.516 1.457 0.000
Ta 9.553 1.457 2.428
Cd 2.764 1.457 0.026
Cd 4.829 1.457 2.038
Cd 10.280 0.000 0.026
Cd 12.345 0.000 2.038
Ir -0.203 1.457 2.436
Ir 3.840 0.000 4.370
Ir 7.312 0.000 2.436
Ir 11.355 1.457 4.370
CELL_PARAMETERS angstrom
15.031 0.000 0.000
0.000 2.914 0.000
-1.481 0.000 4.825
```

- M_tot (μB per formula unit) = 0.0
- D(E_F) (states/eV/cell) = 8.35

=====

Q: Which of them is the least stable? A: 2.

=====

1 | A plane-wave DFT calculation with PBE was carried out for TlTe2Os after structural relaxation. Values from VASP.

Structure (Quantum ESPRESSO input):
```
&SYSTEM
  ibrav = 0, nat = 12, ntyp = 3
/
ATOMIC_SPECIES
Tl 204.38 Tl.upf
Te 127.60 Te.upf
Os 190.23 Os.upf
ATOMIC_POSITIONS angstrom
Tl 0.000 0.000 0.000
Tl 0.000 1.831 23.370
Tl 1.585 0.915 11.685
Te 0.000 0.000 14.977
Te 0.000 0.000 20.078
Te 0.000 1.831 3.292
Te 0.000 1.831 8.393
Te 1.585 0.915 26.662
Te 1.585 0.915 31.763
Os 0.000 0.000 17.528
Os 0.000 1.831 5.843
Os 1.585 0.915 29.213
CELL_PARAMETERS angstrom
3.171 0.000 0.000
-1.585 2.746 0.000
0.000 0.000 35.055
```

- M_tot (μB per formula unit) = 0.0
- D(E_F) (states/eV/cell) = 7.55

=====

2 | A plane-wave DFT calculation with PBE was carried out for TlTe2Os after structural relaxation. Values from VASP.

Structure (Quantum ESPRESSO input):
```
&SYSTEM
  ibrav = 0, nat = 16, ntyp = 3
/
ATOMIC_SPECIES
Tl 204.38 Tl.upf
Te 127.60 Te.upf
Os 190.23 Os.upf
ATOMIC_POSITIONS angstrom
Tl 0.000 0.000 0.000
Tl 0.000 3.573 3.573
Tl 3.573 0.000 3.573
Tl 3.573 3.573 0.000
Te 1.787 1.787 1.787
Te 1.787 1.787 5.360
Te 1.787 5.360 1.787
Te 1.787 5.360 5.360
Te 5.360 1.787 1.787
Te 5.360 1.787 5.360
Te 5.360 5.360 1.787
Te 5.360 5.360 5.360
Os 0.000 0.000 3.573
Os 0.000 3.573 0.000
Os 3.573 0.000 0.000
Os 3.573 3.573 3.573
CELL_PARAMETERS angstrom
7.147 0.000 0.000
0.000 7.147 0.000
0.000 0.000 7.147
```

- M_tot (μB per formula unit) = 0.0
- D(E_F) (states/eV/cell) = 15.01

=====

Q: Which of them is the least stable? A: 2.

=====

1 | A plane-wave DFT calculation with PBE was carried out for Hg2AuCl after structural relaxation. Values from VASP.

Structure (Quantum ESPRESSO input):
```
&SYSTEM
  ibrav = 0, nat = 12, ntyp = 3
/
ATOMIC_SPECIES
Hg 200.59 Hg.upf
Au 196.97 Au.upf
Cl 35.45 Cl.upf
ATOMIC_POSITIONS angstrom
Hg 0.000 0.000 0.000
Hg 0.000 0.000 5.687
Hg 0.000 2.233 15.623
Hg 0.000 2.233 21.309
Hg 1.934 1.116 7.811
Hg 1.934 1.116 13.498
Au 0.000 0.000 11.761
Au 0.000 2.233 3.950
Au 1.934 1.116 19.573
Cl 0.000 0.000 17.949
Cl 0.000 2.233 10.138
Cl 1.934 1.116 2.327
CELL_PARAMETERS angstrom
3.867 0.000 0.000
-1.934 3.349 0.000
0.000 0.000 23.434
```

- M_tot (μB per formula unit) = 0.0
- D(E_F) (states/eV/cell) = 3.04

=====

2 | A plane-wave DFT calculation with PBE was carried out for Hg2AuCl after structural relaxation. Values from VASP.

Structure (Quantum ESPRESSO input):
```
&SYSTEM
  ibrav = 0, nat = 8, ntyp = 3
/
ATOMIC_SPECIES
Hg 200.59 Hg.upf
Au 196.97 Au.upf
Cl 35.45 Cl.upf
ATOMIC_POSITIONS angstrom
Hg 0.844 0.000 1.974
Hg -0.375 1.963 5.226
Hg 4.479 1.963 1.974
Hg 3.259 0.000 5.226
Au -1.583 0.000 3.600
Au 2.052 1.963 3.600
Cl 0.000 1.963 0.000
Cl 3.635 0.000 0.000
CELL_PARAMETERS angstrom
7.269 0.000 0.000
0.000 3.925 0.000
-3.166 0.000 7.200
```

- M_tot (μB per formula unit) = 0.0
- D(E_F) (states/eV/cell) = 2.11

=====

Q: Which of them is the least stable? A: 1.

=====

1 | A plane-wave DFT calculation with PBE was carried out for LiCuPO4 after structural relaxation. Values from VASP.

Structure (Quantum ESPRESSO input):
```
&SYSTEM
  ibrav = 0, nat = 28, ntyp = 4
/
ATOMIC_SPECIES
Li 6.94 Li.upf
Cu 63.55 Cu.upf
P 30.97 P.upf
O 16.00 O.upf
ATOMIC_POSITIONS angstrom
Li 0.000 0.000 0.000
Li -0.020 3.615 0.796
Li 2.058 6.040 1.690
Li 2.586 3.433 6.636
Cu -0.379 3.064 4.708
Cu 0.460 5.925 5.962
Cu 2.183 1.284 4.136
Cu 2.632 1.931 8.919
P -0.228 1.811 7.572
P 1.707 5.025 8.813
P 2.693 4.485 4.026
P 5.077 1.277 2.864
O -0.786 1.975 9.027
O -0.498 0.322 7.213
O -0.175 2.807 2.656
O 0.176 1.166 4.407
O 0.450 0.409 1.932
O 0.357 4.886 9.518
O 1.296 2.098 7.535
O 1.771 5.670 4.563
O 1.623 5.042 7.261
O 2.099 3.179 4.711
O 2.652 4.433 2.532
O 2.628 0.010 9.381
O 2.725 3.884 9.169
O 3.576 0.915 2.856
O 4.104 4.710 4.678
O 4.495 2.791 6.605
CELL_PARAMETERS angstrom
5.442 0.000 0.000
-0.260 6.339 0.000
-0.795 -0.061 9.550
```

- M_tot (μB per formula unit) = 1.0
- D(E_F) (states/eV/cell) = 3.87

=====

2 | A plane-wave DFT calculation with PBE was carried out for LiCuPO4 after structural relaxation. Values from VASP.

Structure (Quantum ESPRESSO input):
```
&SYSTEM
  ibrav = 0, nat = 28, ntyp = 4
/
ATOMIC_SPECIES
Li 6.94 Li.upf
Cu 63.55 Cu.upf
P 30.97 P.upf
O 16.00 O.upf
ATOMIC_POSITIONS angstrom
Li 0.000 0.000 0.000
Li 0.000 3.048 0.000
Li 5.002 0.000 2.375
Li 5.002 3.048 2.375
Cu 2.166 1.524 2.192
Cu 2.836 4.572 4.567
Cu 7.168 1.524 0.182
Cu 7.837 4.572 2.557
P 0.961 4.572 2.007
P 4.041 1.524 4.382
P 5.963 4.572 0.367
P 9.042 1.524 2.742
O 0.506 1.524 3.288
O 1.013 4.572 3.551
O 1.654 3.333 1.347
O 1.654 5.811 1.347
O 3.347 0.285 3.721
O 3.347 2.763 3.721
O 3.989 1.524 1.176
O 4.495 4.572 0.913
O 5.508 1.524 3.837
O 6.014 4.572 3.573
O 6.656 3.333 1.028
O 6.656 5.811 1.028
O 8.349 0.285 3.403
O 8.349 2.763 3.403
O 8.991 1.524 1.199
O 9.497 4.572 1.462
CELL_PARAMETERS angstrom
10.003 0.000 0.000
0.000 6.096 0.000
0.000 0.000 4.749
```

- M_tot (μB per formula unit) = 1.0
- D(E_F) (states/eV/cell) = 4.51

=====

Q: Which of them is the least stable? A: 1.

=====

1 | A plane-wave DFT calculation with PBE was carried out for B5C7 after structural relaxation. Values from VASP.

Structure (Quantum ESPRESSO input):
```
&SYSTEM
  ibrav = 0, nat = 12, ntyp = 2
/
ATOMIC_SPECIES
B 10.81 B.upf
C 12.01 C.upf
ATOMIC_POSITIONS angstrom
B 0.000 0.000 0.000
B 2.184 0.000 2.320
B 5.717 0.000 2.774
B 6.789 0.000 5.002
B 9.976 0.000 1.630
C 1.702 0.000 4.882
C 3.445 0.000 1.128
C 2.830 0.000 3.842
C 6.632 0.000 0.502
C 7.083 0.000 2.001
C 9.630 0.000 4.012
C 10.843 0.000 2.992
CELL_PARAMETERS angstrom
5.926 -1.326 0.000
5.926 1.326 0.000
-1.236 0.000 5.257
```

- M_tot (μB per formula unit) = 0.0
- D(E_F) (states/eV/cell) = 2.74

=====

2 | A plane-wave DFT calculation with PBE was carried out for B5C7 after structural relaxation. Values from VASP.

Structure (Quantum ESPRESSO input):
```
&SYSTEM
  ibrav = 0, nat = 12, ntyp = 2
/
ATOMIC_SPECIES
B 10.81 B.upf
C 12.01 C.upf
ATOMIC_POSITIONS angstrom
B 0.000 0.000 0.000
B 0.154 0.000 2.050
B 0.709 1.286 4.646
B 3.090 0.000 4.696
B 3.786 1.286 2.528
C 0.775 1.286 6.304
C 1.571 0.000 3.980
C 1.662 0.000 2.450
C 2.366 1.286 0.322
C 2.344 1.286 1.895
C 2.998 0.000 6.354
C 3.901 1.286 4.078
CELL_PARAMETERS angstrom
4.714 0.000 0.000
0.000 2.571 0.000
-0.118 0.000 6.513
```

- M_tot (μB per formula unit) = 0.0
- D(E_F) (states/eV/cell) = 2.32

=====

Q: Which of them is the least stable? A: 2.

=====

1 | A plane-wave DFT calculation with PBE was carried out for BaSr after structural relaxation. Values from VASP.

Structure (Quantum ESPRESSO input):
```
&SYSTEM
  ibrav = 0, nat = 8, ntyp = 2
/
ATOMIC_SPECIES
Ba 137.33 Ba.upf
Sr 87.62 Sr.upf
ATOMIC_POSITIONS angstrom
Ba 1.485 1.485 0.000
Ba 2.465 5.435 3.889
Ba 5.435 2.465 3.889
Ba 6.415 6.415 0.000
Sr 1.450 1.450 3.889
Sr 2.500 5.400 0.000
Sr 5.400 2.500 0.000
Sr 6.450 6.450 3.889
CELL_PARAMETERS angstrom
7.900 0.000 0.000
0.000 7.900 0.000
0.000 0.000 7.779
```

- M_tot (μB per formula unit) = 0.0
- D(E_F) (states/eV/cell) = 10.30

=====

2 | A plane-wave DFT calculation with PBE was carried out for BaSr after structural relaxation. Values from VASP.

Structure (Quantum ESPRESSO input):
```
&SYSTEM
  ibrav = 0, nat = 16, ntyp = 2
/
ATOMIC_SPECIES
Ba 137.33 Ba.upf
Sr 87.62 Sr.upf
ATOMIC_POSITIONS angstrom
Ba 1.705 2.529 0.000
Ba 2.529 13.653 0.000
Ba 5.150 9.384 2.059
Ba 5.974 5.150 2.059
Ba 9.384 10.208 2.059
Ba 10.208 5.974 2.059
Ba 12.829 1.705 0.000
Ba 13.653 12.829 0.000
Sr 1.322 9.799 0.000
Sr 2.120 6.357 2.059
Sr 5.559 1.322 0.000
Sr 6.357 13.238 2.059
Sr 9.002 2.120 2.059
Sr 9.799 14.036 0.000
Sr 13.238 9.002 2.059
Sr 14.036 5.559 0.000
CELL_PARAMETERS angstrom
15.358 0.000 0.000
0.000 15.358 0.000
0.000 0.000 4.119
```

- M_tot (μB per formula unit) = 0.0
- D(E_F) (states/eV/cell) = 22.22

=====

Q: Which of them is the least stable? A: 1.